[1]
The following is a SCAN calculation of a PBEsol-optimized structure of Y2AsOs, from Alexandria.

energy of formation from the pure elements = -0.54 eV/atom
space-group type = I4/mmm

Cell: 4.926 4.926 4.926 Å, 122.26 122.26 86.13°
Element x y z (fractional)
1 Y 0.250 0.750 0.500
2 Y 0.750 0.250 0.500
3 As 0.000 0.000 0.000
4 Os 0.500 0.500 0.000

---

[2]
The following is a SCAN calculation of a PBEsol-optimized structure of Na4W5O15, from Alexandria.

uncorrected formation energy = -2.254 eV per atom
space-group type = C2/m

Cell: 8.643 8.643 6.696 Å, 104.93 104.93 36.88°
Element x y z (fractional)
1 Na 0.099 0.099 0.395
2 Na 0.302 0.302 0.199
3 Na 0.698 0.698 0.801
4 Na 0.901 0.901 0.605
5 W 0.099 0.099 0.900
6 W 0.301 0.301 0.702
7 W 0.500 0.500 0.500
8 W 0.699 0.699 0.298
9 W 0.901 0.901 0.100
10 O 0.000 0.000 0.000
11 O 0.000 0.500 0.500
12 O 0.097 0.601 0.899
13 O 0.197 0.702 0.303
14 O 0.200 0.200 0.800
15 O 0.298 0.803 0.697
16 O 0.399 0.399 0.597
17 O 0.399 0.903 0.101
18 O 0.500 0.000 0.500
19 O 0.601 0.097 0.899
20 O 0.601 0.601 0.403
21 O 0.702 0.197 0.303
22 O 0.800 0.800 0.200
23 O 0.803 0.298 0.697
24 O 0.903 0.399 0.101